TmMnRuRh | Alexandria via LeMat-Bulk | GGA-PBE | relaxed; E = -7.8627 eV per atom; E_form = -0.30 eV/atom; space group = F-43m
1.0
0.000 3.198 3.198
3.198 0.000 3.198
3.198 3.198 0.000
Tm Mn Ru Rh
1 1 1 1
Direct
0.000 0.000 0.000
0.500 0.500 0.500
0.250 0.250 0.250
0.750 0.750 0.750